# Ba4SbTe2

A relaxed structure of Ba4SbTe2 (GGA-PBE, the Alexandria database).

Results
Energy relative to the elements, uncorrected = -1.3176 eV per atom
Density = 4.71 g/cm3
Space group = No. 141
DFT total energy = -0.14343 hartree per atom
Magnetization = 1.88 μB/cell

Geometry as POSCAR:
```
Ba4SbTe2
1.0
8.8569 0.4450 -3.3176
-4.7328 7.7009 -2.8186
0.2735 -0.4450 9.4539
Te Ba Sb
4 8 2
Direct
0.7500 0.3750 0.6250 Te
0.7500 0.3750 0.1250 Te
0.2500 0.8750 0.6250 Te
0.2500 0.3750 0.6250 Te
0.6882 0.6247 0.9365 Ba
0.3118 0.0635 0.3753 Ba
0.1882 0.6865 0.8747 Ba
0.1882 0.5017 0.3135 Ba
0.8118 0.6865 0.4983 Ba
0.8118 0.1253 0.3135 Ba
0.3118 0.2483 0.9365 Ba
0.6882 0.0635 0.7517 Ba
0.5000 0.7500 0.2500 Sb
0.0000 0.0000 0.0000 Sb
```



# ScCd2Cu2

A relaxed structure of ScCd2Cu2 (GGA-PBE, the Alexandria database).

Results
Distance to the lowest polymorph of the same formula = 79 meV per atom
ΔE_f = 0.0558 eV per atom
Density = 6.97 g/cm3
Space group = No. 139
DFT total energy = -0.11815 hartree per atom
Magnetization = 0.00 μB/cell

Geometry as POSCAR:
```
ScCd2Cu2
1.0
3.7525 0.0000 0.0000
0.0000 3.7525 0.0000
1.8763 1.8763 6.7105
Sc Cu Cd
1 2 2
Direct
0.0000 0.0000 0.0000 Sc
0.2500 0.7500 0.5000 Cu
0.7500 0.2500 0.5000 Cu
0.6086 0.6086 0.7827 Cd
0.3914 0.3914 0.2173 Cd
```



# PrTmIO6

A relaxed structure of PrTmIO6 (GGA-PBE, the Alexandria database).

Results
Energy relative to the elements, uncorrected = -2.0467 eV per atom
Density = 6.45 g/cm3
Space group = No. 163
DFT total energy = -0.24079 hartree per atom
Magnetization = 0.81 μB/cell

Geometry as POSCAR:
```
PrTmIO6
1.0
5.6103 0.0000 0.0000
-2.8051 4.8586 0.0000
0.0000 0.0000 10.0649
O Tm I Pr
12 2 2 2
Direct
0.9704 0.6286 0.3611 O
0.3418 0.3714 0.8611 O
0.0296 0.3714 0.6389 O
0.6582 0.6286 0.1389 O
0.3418 0.9704 0.6389 O
0.3714 0.0296 0.1389 O
0.0296 0.6582 0.8611 O
0.6286 0.9704 0.8611 O
0.6582 0.0296 0.3611 O
0.9704 0.3418 0.1389 O
0.6286 0.6582 0.6389 O
0.3714 0.3418 0.3611 O
0.6667 0.3333 0.7500 Tm
0.3333 0.6667 0.2500 Tm
0.6667 0.3333 0.2500 I
0.3333 0.6667 0.7500 I
0.0000 0.0000 0.0000 Pr
0.0000 0.0000 0.5000 Pr
```



# Mg8TlCd3

A relaxed structure of Mg8TlCd3 (GGA-PBE, the Alexandria database).

Results
ΔE_f = 0.0359 eV per atom
Density = 3.93 g/cm3
Space group = No. 12
DFT total energy = -0.05340 hartree per atom
Magnetization = 0.00 μB/cell

Geometry as POSCAR:
```
Mg8TlCd3
1.0
8.2278 0.0000 -0.6566
-5.1399 4.8345 4.3175
-2.0520 0.0000 7.9784
Mg Cd Tl
8 3 1
Direct
0.8736 0.0000 0.6200 Mg
0.3796 0.0000 0.1260 Mg
0.8731 0.4937 0.1274 Mg
0.6205 0.0000 0.8741 Mg
0.6205 0.4937 0.3788 Mg
0.1265 0.0000 0.3801 Mg
0.3794 0.5063 0.6211 Mg
0.1268 0.5063 0.8725 Mg
0.7500 0.5000 0.7499 Cd
0.2500 0.5000 0.2500 Cd
0.5001 0.0000 0.5001 Cd
0.0000 0.0000 0.0000 Tl
```



# Tb7Pm2

A relaxed structure of Tb7Pm2 (GGA-PBE, the Alexandria database).

Results
Distance to the lowest polymorph of the same formula = 27 meV per atom
ΔE_f = 0.0424 eV per atom
Density = 7.95 g/cm3
Space group = No. 189
DFT total energy = -0.16958 hartree per atom
Magnetization = 0.00 μB/cell

Geometry as POSCAR:
```
Tb7Pm2
1.0
3.5537 0.0000 0.0000
0.0000 9.7535 0.0000
0.0000 -4.8767 8.4467
Tb Pm
7 2
Direct
0.0000 0.3049 0.0000 Tb
0.0000 0.0000 0.3049 Tb
0.0000 0.6951 0.6951 Tb
0.5000 0.0000 0.0000 Tb
0.5000 0.0000 0.6456 Tb
0.5000 0.3544 0.3544 Tb
0.5000 0.6456 0.0000 Tb
0.0000 0.6667 0.3333 Pm
0.0000 0.3333 0.6667 Pm
```



# Cs8KRb2

A relaxed structure of Cs8KRb2 (GGA-PBE, the Alexandria database).

Results
ΔE_f = 0.0300 eV per atom
Density = 1.73 g/cm3
Space group = No. 12
DFT total energy = -0.03184 hartree per atom
Magnetization = 0.00 μB/cell

Geometry as POSCAR:
```
Cs8KRb2
1.0
12.3026 2.3653 2.0231
5.4378 11.9431 3.7840
5.4378 5.5897 11.2121
Cs Rb K
8 2 1
Direct
0.2093 0.8384 0.3450 Cs
0.2781 0.7506 0.7506 Cs
0.7794 0.6141 0.6141 Cs
0.7219 0.2494 0.2494 Cs
0.2206 0.3859 0.3859 Cs
0.2093 0.3450 0.8384 Cs
0.7907 0.1616 0.6550 Cs
0.7907 0.6550 0.1616 Cs
0.4944 0.8630 0.8630 Rb
0.5056 0.1370 0.1370 Rb
0.0000 0.0000 0.0000 K
```



# TaBi2Ru

A relaxed structure of TaBi2Ru (GGA-PBE, the Alexandria database).

Results
Distance to the lowest polymorph of the same formula = 354 meV per atom
ΔE_f = 0.9646 eV per atom
Density = 12.47 g/cm3
Space group = No. 122
DFT total energy = -0.22998 hartree per atom
Magnetization = 0.00 μB/cell

Geometry as POSCAR:
```
TaBi2Ru
1.0
7.9482 0.0000 0.0000
0.0000 7.9482 0.0000
3.9741 3.9741 2.9512
Bi Ta Ru
4 2 2
Direct
0.8750 0.8406 0.7500 Bi
0.1594 0.6250 0.2500 Bi
0.3750 0.4094 0.7500 Bi
0.5906 0.1250 0.2500 Bi
0.0000 0.0000 0.0000 Ta
0.7500 0.2500 0.5000 Ta
0.2500 0.7500 0.5000 Ru
0.5000 0.5000 0.0000 Ru
```



# TcNiIr2

A relaxed structure of TcNiIr2 (GGA-PBE, the Alexandria database).

Results
Distance to the lowest polymorph of the same formula = 389 meV per atom
ΔE_f = 0.2676 eV per atom
Density = 15.92 g/cm3
Space group = No. 12
DFT total energy = -0.30133 hartree per atom
Magnetization = 0.00 μB/cell

Geometry as POSCAR:
```
TcNiIr2
1.0
-4.6067 -0.2357 -0.8310
2.7153 -4.4260 -0.6736
-0.3739 -1.3682 2.2724
Ir Tc Ni
2 1 1
Direct
0.5000 0.0000 0.5000 Ir
0.0000 0.0000 0.0000 Ir
0.5000 0.5000 0.0000 Tc
0.0000 0.5000 0.5000 Ni
```



# CoCu3

A relaxed structure of CoCu3 (GGA-PBE, the Alexandria database).

Results
ΔE_f = 0.1294 eV per atom
Density = 8.85 g/cm3
Space group = No. 25
DFT total energy = -0.17343 hartree per atom
Magnetization = 1.63 μB/cell

Geometry as POSCAR:
```
CoCu3
1.0
2.4978 0.0000 0.0000
0.0000 4.2055 0.0000
0.0000 0.0000 4.4554
Cu Co
3 1
Direct
0.0000 0.5000 0.3284 Cu
0.5000 0.5000 0.8330 Cu
0.5000 0.0000 0.5033 Cu
0.0000 0.0000 0.0020 Co
```



# NaLaRh2

A relaxed structure of NaLaRh2 (GGA-PBE, the Alexandria database).

Results
ΔE_f = 0.0327 eV per atom
Density = 7.26 g/cm3
Space group = No. 122
DFT total energy = -0.19127 hartree per atom
Magnetization = 0.00 μB/cell

Geometry as POSCAR:
```
NaLaRh2
1.0
7.4586 0.0000 0.0000
0.0000 7.4586 0.0000
3.7293 3.7293 3.0227
Rh La Na
4 2 2
Direct
0.8750 0.8898 0.7500 Rh
0.6398 0.1250 0.2500 Rh
0.1102 0.6250 0.2500 Rh
0.3750 0.3602 0.7500 Rh
0.0000 0.0000 0.0000 La
0.7500 0.2500 0.5000 La
0.5000 0.5000 0.0000 Na
0.2500 0.7500 0.5000 Na
```



# NaBe2FeNi

A relaxed structure of NaBe2FeNi (GGA-PBE, the Alexandria database).

Results
ΔE_f = 0.7486 eV per atom
Density = 3.49 g/cm3
Space group = No. 123
DFT total energy = -0.14165 hartree per atom
Magnetization = 0.00 μB/cell

Geometry as POSCAR:
```
NaBe2FeNi
1.0
4.1799 0.0000 0.0000
0.0000 4.2331 0.0000
0.0000 0.0000 4.1799
Be Ni Na Fe
2 1 1 1
Direct
0.5000 0.0000 0.0000 Be
0.0000 0.0000 0.5000 Be
0.0000 0.5000 0.0000 Ni
0.5000 0.5000 0.5000 Na
0.0000 0.0000 0.0000 Fe
```



# CoC2Br

A relaxed structure of CoC2Br (GGA-PBE, the Alexandria database).

Results
Distance to the lowest polymorph of the same formula = 0 meV per atom
Energy relative to the elements, uncorrected = 1.5357 eV per atom
Density = 4.66 g/cm3
Space group = No. 122
DFT total energy = -0.19370 hartree per atom
Magnetization = 0.00 μB/cell

Geometry as POSCAR:
```
CoC2Br
1.0
-3.9731 3.1593 -0.3757
-0.5778 -0.1254 5.0556
0.4762 5.0251 2.7414
Br Co C
2 2 4
Direct
0.7500 0.2500 0.5000 Br
0.0000 0.0000 0.0000 Br
0.2500 0.7500 0.5000 Co
0.5000 0.5000 0.0000 Co
0.4892 0.1250 0.2500 C
0.3750 0.5108 0.7500 C
0.8750 0.7392 0.7500 C
0.2608 0.6250 0.2500 C
```